Here is a relaxed NaNb3H crystal from the Alexandria database. Energies are from PBE.

abc: 4.2759 4.2759 4.2759
angles: 90.00 90.00 90.00
Fractional coordinates of all 5 atoms:
Na 0.0000 0.0000 0.0000
Nb 0.0000 0.5000 0.5000
Nb 0.5000 0.0000 0.5000
Nb 0.5000 0.5000 0.0000
H 0.5000 0.5000 0.5000

Spin magnetization = 0.00 μB per formula unit
Relative energy among the computed polymorphs = 0.0 meV per atom
Fermi-level density of states = 5.980 states/eV per cell
Energy = -6.443 eV per atom